(1)
Here is a relaxed structure of Ta2Ti2Pt from the Alexandria database. Energies are from PBE. Values from VASP.

Quantum ESPRESSO input file:
```
&SYSTEM
  ibrav = 0, nat = 10, ntyp = 3
/
ATOMIC_SPECIES
Ti 47.87 Ti.upf
Ta 180.95 Ta.upf
Pt 195.08 Pt.upf
CELL_PARAMETERS angstrom
6.8444 0.0000 0.0000
0.0000 6.8444 0.0000
0.0000 0.0000 3.8887
ATOMIC_POSITIONS crystal
Ti 0.8388 0.3388 0.5000
Ti 0.1612 0.6612 0.5000
Ti 0.6612 0.8388 0.5000
Ti 0.3388 0.1612 0.5000
Ta 0.8599 0.6401 0.0000
Ta 0.1401 0.3599 0.0000
Ta 0.6401 0.1401 0.0000
Ta 0.3599 0.8599 0.0000
Pt 0.0000 0.0000 0.0000
Pt 0.5000 0.5000 0.0000
```

Computed properties:
E_tot = -9.07 eV/atom
ΔE_f = 18 kJ/mol of formula units
magnetization = 0.00 μB/cell
space-group type = P4/mbm

(2)
Here is a relaxed structure of CsBaBi2Rh from the Alexandria database. Energies are from PBE. Values from VASP.

Quantum ESPRESSO input file:
```
&SYSTEM
  ibrav = 0, nat = 5, ntyp = 4
/
ATOMIC_SPECIES
Rh 102.91 Rh.upf
Ba 137.33 Ba.upf
Bi 208.98 Bi.upf
Cs 132.91 Cs.upf
CELL_PARAMETERS angstrom
-2.4706 4.9892 0.3906
-0.6816 0.1074 -5.6832
-4.9602 -2.4991 0.5477
ATOMIC_POSITIONS crystal
Rh 0.0000 0.0000 0.0000
Ba 0.5000 0.5000 0.5000
Bi 0.0000 0.0000 0.5000
Bi 0.5000 0.0000 0.0000
Cs 0.0000 0.5000 0.0000
```

Computed properties:
E_tot = -3.68 eV/atom
ΔE_f = -51 kJ/mol of formula units
magnetization = 0.00 μB/cell
space-group type = P4/mmm

(3)
Here is a relaxed structure of Rb2DyRe2N6 from the Alexandria database. Energies are from PBE. Values from VASP.

Quantum ESPRESSO input file:
```
&SYSTEM
  ibrav = 0, nat = 11, ntyp = 4
/
ATOMIC_SPECIES
N 14.01 N.upf
Re 186.21 Re.upf
Dy 162.50 Dy.upf
Rb 85.47 Rb.upf
CELL_PARAMETERS angstrom
6.3699 0.0000 0.0000
-3.1849 5.5169 -0.2328
0.0000 -3.4316 6.4960
ATOMIC_POSITIONS crystal
N 0.7498 0.9709 0.7169
N 0.2513 0.5027 0.2874
N 0.7487 0.4973 0.7126
N 0.7789 0.0291 0.2831
N 0.2211 0.9709 0.7169
N 0.2502 0.0291 0.2831
Re 0.0701 0.1401 0.2135
Re 0.9299 0.8599 0.7865
Dy 0.5000 0.0000 0.5000
Rb 0.2758 0.5517 0.8243
Rb 0.7242 0.4483 0.1757
```

Computed properties:
ΔE_f (raw) = -357 meV per atom
E_tot = -7.76 eV/atom
magnetization = 0.84 μB/cell
space-group type = C2/m

(4)
Here is a relaxed structure of CaZn5 from the Alexandria database. Energies are from PBE. Values from VASP.

Quantum ESPRESSO input file:
```
&SYSTEM
  ibrav = 0, nat = 6, ntyp = 2
/
ATOMIC_SPECIES
Zn 65.41 Zn.upf
Ca 40.08 Ca.upf
CELL_PARAMETERS angstrom
-1.0810 -3.0528 3.3093
-2.6789 -2.5468 -3.2244
5.2208 -1.3503 0.4598
ATOMIC_POSITIONS crystal
Zn 0.0000 0.3241 0.6483
Zn 0.0000 0.6759 0.3517
Zn 0.5000 0.2005 0.4009
Zn 0.5000 0.7995 0.5991
Zn 0.5000 0.5000 0.0000
Ca 0.0000 0.0000 0.0000
```

Computed properties:
E_tot = -1.46 eV/atom
ΔE_f = -39 kJ/mol of formula units
magnetization = 0.00 μB/cell
space-group type = Cmmm

(5)
Here is a relaxed structure of GeBi3Pt4 from the Alexandria database. Energies are from PBE. Values from VASP.

Quantum ESPRESSO input file:
```
&SYSTEM
  ibrav = 0, nat = 8, ntyp = 3
/
ATOMIC_SPECIES
Pt 195.08 Pt.upf
Bi 208.98 Bi.upf
Ge 72.64 Ge.upf
CELL_PARAMETERS angstrom
-1.8391 -4.6758 4.0859
3.9394 -0.3876 -5.1255
4.1133 4.2332 2.6646
ATOMIC_POSITIONS crystal
Pt 0.2085 0.2636 0.4721
Pt 0.2085 0.7364 0.9449
Pt 0.5224 0.2453 0.2771
Pt 0.0318 0.7547 0.2771
Bi 0.9206 0.0000 0.9206
Bi 0.5967 0.2622 0.8589
Bi 0.5967 0.7378 0.3345
Ge 0.0659 0.5000 0.5659
```

Computed properties:
E_tot = -5.20 eV/atom
ΔE_f = -113 kJ/mol of formula units
magnetization = 0.00 μB/cell
space-group type = Imm2

(6)
Here is a relaxed structure of Li3NbIn from the Alexandria database. Energies are from PBE. Values from VASP.

Quantum ESPRESSO input file:
```
&SYSTEM
  ibrav = 0, nat = 5, ntyp = 3
/
ATOMIC_SPECIES
Li 6.94 Li.upf
In 114.82 In.upf
Nb 92.91 Nb.upf
CELL_PARAMETERS angstrom
-1.7772 0.7562 4.2123
-1.5159 -4.3766 0.1461
4.0022 -1.3219 1.9259
ATOMIC_POSITIONS crystal
Li 0.5000 0.0000 0.0000
Li 0.0000 0.0000 0.5000
Li 0.0000 0.5000 0.0000
In 0.0000 0.0000 0.0000
Nb 0.5000 0.5000 0.5000
```

Computed properties:
E_tot = -2.78 eV/atom
ΔE_f = 448 kJ/mol of formula units
magnetization = 0.00 μB/cell
space-group type = Pm-3m

(7)
Here is a relaxed structure of YTeS from the Alexandria database. Energies are from PBE. Values from VASP.

Quantum ESPRESSO input file:
```
&SYSTEM
  ibrav = 0, nat = 18, ntyp = 3
/
ATOMIC_SPECIES
S 32.06 S.upf
Te 127.60 Te.upf
Y 88.91 Y.upf
CELL_PARAMETERS angstrom
7.8365 0.0000 0.0000
-3.9182 6.7866 0.0000
0.0000 0.0000 8.2457
ATOMIC_POSITIONS crystal
S 0.7405 0.7405 0.0000
S 0.2595 0.0000 0.0000
S 0.2595 0.0000 0.5000
S 0.7405 0.7405 0.5000
S 0.0000 0.2595 0.0000
S 0.0000 0.2595 0.5000
Te 0.5937 0.9999 0.2500
Te 0.9999 0.5937 0.7500
Te 0.0001 0.5938 0.2500
Te 0.4063 0.4062 0.7500
Te 0.5938 0.0001 0.7500
Te 0.4062 0.4063 0.2500
Y 0.6667 0.3333 0.5000
Y 0.0000 0.0000 0.7500
Y 0.0000 0.0000 0.2500
Y 0.3333 0.6667 0.5000
Y 0.3333 0.6667 0.0000
Y 0.6667 0.3333 0.0000
```

Computed properties:
ΔE_f (raw) = -1263 meV per atom
E_tot = -5.84 eV/atom
magnetization = 0.00 μB/cell
space-group type = P-62m

(8)
Here is a relaxed structure of CoB5 from the Alexandria database. Energies are from PBE. Values from VASP.

Quantum ESPRESSO input file:
```
&SYSTEM
  ibrav = 0, nat = 6, ntyp = 2
/
ATOMIC_SPECIES
B 10.81 B.upf
Co 58.93 Co.upf
CELL_PARAMETERS angstrom
2.8129 0.0000 0.0000
0.0000 2.9778 0.0000
0.0000 -1.4889 4.9647
ATOMIC_POSITIONS crystal
B 0.5000 0.2105 0.4210
B 0.0000 0.3474 0.6949
B 0.5000 0.7895 0.5790
B 0.5000 0.5000 0.0000
B 0.0000 0.6526 0.3051
Co 0.0000 0.0000 0.0000
```

Computed properties:
E_tot = -5.93 eV/atom
ΔE_f = 477 kJ/mol of formula units
magnetization = 0.00 μB/cell
space-group type = Cmmm